19
Lattice="2.1218 6.6869 -4.6051 2.2204 -7.0054 -4.0518 -8.2964 -0.0087 1.2623" Properties=species:S:1:pos:R:3 comment="Tb12GaFe6 (PBE, optimized geometry)" sg=Im-3 ef_ev_per_fu=-1.140 pbc="T T T"
Tb -5.8311 1.2568 -0.7632
Tb 0.1092 -1.4544 -3.1072
Tb -4.0634 1.1271 -4.2874
Tb 1.8769 -1.5840 -6.6314
Tb -0.4520 -4.9639 -3.3644
Tb -0.9886 1.9180 -2.6694
Tb -2.9656 -2.2452 -4.7252
Tb -3.5022 4.6367 -4.0302
Tb 1.5177 3.3127 -4.7839
Tb -2.9984 -0.7846 -1.4751
Tb -0.9558 0.4573 -5.9195
Tb -5.4719 -3.6400 -2.6107
Ga 0.0000 0.0000 0.0000
Fe -5.4463 -0.9023 -2.6986
Fe 1.4921 0.5751 -4.6960
Fe -0.1988 -2.8951 -5.4165
Fe -3.7554 2.5678 -1.9781
Fe -1.3937 3.2148 -5.0479
Fe -2.5605 -3.5421 -2.3467